[1]
16
Lattice="6.852 -6.637 0.000 6.852 6.637 0.000 -3.398 0.000 5.919" Properties=species:S:1:pos:R:3 comment="TbPrNd2Ho4 GGA-PBE optimized geometry" space_group="No. 15" m_tot_mub_per_cell=2.78 pbc="T T T"
Tb 0.000 0.000 0.000
Tb -1.699 0.000 2.959
Pr 3.426 3.319 0.000
Pr 1.727 -3.319 2.959
Nd 1.727 3.319 2.959
Nd 3.426 -3.319 0.000
Nd 6.852 0.000 0.000
Nd 5.153 0.000 2.959
Ho 3.455 3.365 5.917
Ho 1.699 0.001 2.933
Ho 0.000 -0.001 5.893
Ho 5.153 3.365 2.961
Ho 5.154 -3.365 2.958
Ho 10.307 0.001 0.026
Ho 8.608 -0.001 2.985
Ho 6.852 -3.365 0.001

[2]
18
Lattice="-4.359 4.359 7.810 4.359 -4.359 7.810 4.359 4.359 -7.810" Properties=species:S:1:pos:R:3 comment="TbPr2NdHo5 GGA-PBE optimized geometry" space_group="No. 140" m_tot_mub_per_cell=0.00 pbc="T T T"
Tb 4.359 0.000 3.905
Tb 0.000 4.359 3.905
Pr 5.385 1.026 0.000
Pr 1.026 3.332 0.000
Pr 3.332 1.026 7.810
Pr -1.026 3.332 7.810
Nd 0.000 0.000 3.905
Nd 0.000 0.000 11.715
Ho 0.000 0.000 0.000
Ho 2.519 1.840 -2.171
Ho 2.519 -1.840 5.640
Ho 2.519 1.840 2.171
Ho 2.519 -1.840 9.981
Ho 0.000 0.000 7.810
Ho 1.840 6.198 -2.171
Ho 1.840 2.519 5.640
Ho 1.840 6.198 2.171
Ho 1.840 2.519 9.981

[3]
8
Lattice="6.280 0.000 0.000 0.000 3.643 0.000 -2.120 0.000 11.814" Properties=species:S:1:pos:R:3 comment="TbPrNd4Ho2 GGA-PBE optimized geometry" space_group="No. 10" m_tot_mub_per_cell=0.00 pbc="T T T"
Tb 0.000 0.000 0.000
Pr -1.060 1.822 5.907
Nd -0.019 0.000 8.903
Nd 1.048 1.822 2.942
Nd 4.179 0.000 2.912
Nd 3.112 1.822 8.872
Ho 2.080 0.000 5.907
Ho 3.140 1.822 0.000

[4]
18
Lattice="2.820 -9.958 0.000 2.820 9.958 0.000 0.000 0.000 10.689" Properties=species:S:1:pos:R:3 comment="Tb5PrNdHo2 GGA-PBE optimized geometry" space_group="No. 36" m_tot_mub_per_cell=0.00 pbc="T T T"
Tb 2.820 9.610 5.345
Tb 2.820 4.336 8.349
Tb 2.820 4.017 1.930
Tb 2.820 2.140 5.317
Tb 2.820 0.444 2.240
Tb 2.820 -0.444 7.584
Tb 2.820 -2.140 10.661
Tb 2.820 -4.017 7.274
Tb 2.820 -4.336 3.005
Tb 2.820 -9.610 0.000
Pr 2.820 5.916 5.171
Pr 2.820 -5.916 10.515
Nd 2.820 1.654 9.872
Nd 2.820 -1.654 4.527
Ho 2.820 7.773 2.220
Ho 2.820 7.678 8.494
Ho 2.820 -7.678 3.150
Ho 2.820 -7.773 7.564

| no. | formation energy (eV/atom) | VASP energy (eV per atom) | Fermi-level density of states (states/eV/cell) |
| --- | --- | --- | --- |
| 1 | 0.411 | -4.246 | 39.5 |
| 2 | 0.260 | -4.389 | 20.0 |
| 3 | 0.016 | -4.689 | 11.2 |
| 4 | 0.156 | -4.495 | 28.0 |